No. 1
Material: TbNd2Pa
Method: DFT, GGA-PBE
State: optimized geometry

Values from the calculation:
- calculated formation energy (eV per formula unit) = 1.26
- magnetization (μB per atom) = 0.000
- distance to the lowest polymorph of the same formula (meV/atom) = 145
- SG = R-3m (166)

a = 3.386 Å, b = 3.386 Å, c = 12.648 Å
α = 82.31°, β = 82.31°, γ = 60.00°
Fractional positions:
1 Nd 0.086 0.086 0.741
2 Nd 0.914 0.914 0.259
3 Pa 0.000 0.000 0.000
4 Tb 0.500 0.500 0.500

No. 2
Material: LuPuTcPt
Method: DFT, GGA-PBE
State: optimized geometry

Values from the calculation:
- calculated formation energy (eV per formula unit) = -1.86
- magnetization (μB per atom) = 1.076
- SG = F-43m (216)

a = 4.812 Å, b = 4.812 Å, c = 4.812 Å
α = 60.00°, β = 60.00°, γ = 60.00°
Each line ends with the local moment (μB).
Fractional positions:
1 Lu 0.500 0.500 0.500  0.03
2 Tc 0.750 0.750 0.750  -0.61
3 Pt 0.250 0.250 0.250  -0.08
4 Pu 0.000 0.000 0.000  4.86

No. 3
Material: Rb2Cd9Au6
Method: DFT, GGA-PBE
State: optimized geometry

Values from the calculation:
- calculated formation energy (eV per formula unit) = -2.47
- magnetization (μB per atom) = 0.000
- SG = P6/mmm (191)

a = 6.897 Å, b = 6.897 Å, c = 11.862 Å
α = 90.00°, β = 90.00°, γ = 120.00°
Fractional positions:
1 Rb 0.000 0.000 0.688
2 Rb 0.000 0.000 0.312
3 Cd 0.500 0.000 0.837
4 Cd 0.000 0.500 0.837
5 Cd 0.500 0.500 0.837
6 Cd 0.500 0.000 0.163
7 Cd 0.000 0.500 0.163
8 Cd 0.500 0.500 0.163
9 Cd 0.500 0.000 0.500
10 Cd 0.000 0.500 0.500
11 Cd 0.500 0.500 0.500
12 Au 0.333 0.667 0.000
13 Au 0.667 0.333 0.000
14 Au 0.333 0.667 0.669
15 Au 0.667 0.333 0.669
16 Au 0.667 0.333 0.331
17 Au 0.333 0.667 0.331

No. 4
Material: InSnCl3
Method: DFT, GGA-PBE
State: optimized geometry

Values from the calculation:
- uncorrected formation energy (eV/atom) = -0.940
- magnetization (μB per atom) = 0.000
- SG = R-3 (148)

a = 8.027 Å, b = 8.027 Å, c = 8.027 Å
α = 59.72°, β = 59.72°, γ = 59.72°
Fractional positions:
1 Cl 0.484 0.010 0.736
2 Cl 0.010 0.736 0.484
3 Cl 0.264 0.516 0.990
4 Cl 0.990 0.264 0.516
5 Cl 0.516 0.990 0.264
6 Cl 0.736 0.484 0.010
7 Sn 0.338 0.338 0.338
8 Sn 0.662 0.662 0.662
9 In 0.135 0.135 0.135
10 In 0.865 0.865 0.865